1.
A relaxed structure of CuGeMoAu, computed with PBE.

E above lowest polymorph	0	meV per atom

Cell lengths 6.309, 6.309, 6.309 Å; angles 90.00, 90.00, 90.00 degrees
Space group F-43m (No. 216)
Asymmetric unit:
1 Cu 0.000 0.000 0.000 (multiplicity 4)
2 Ge 0.250 0.250 0.250 (multiplicity 4)
3 Mo 0.000 0.000 0.500 (multiplicity 4)
4 Au 0.250 0.250 0.750 (multiplicity 4)



2.
A relaxed structure of GdTmAsO, computed with PBE.

E above lowest polymorph	147	meV per atom

Cell lengths 4.295, 4.295, 8.788 Å; angles 90.00, 90.00, 90.00 degrees
Space group P4/nmm (No. 129, origin choice 2)
Asymmetric unit:
1 Gd 0.250 0.750 0.000 (multiplicity 2)
2 Tm 0.250 0.250 0.405 (multiplicity 2)
3 As 0.250 0.250 0.787 (multiplicity 2)
4 O 0.250 0.750 0.500 (multiplicity 2)



3.
A relaxed structure of Tl2ZnAgBr6, computed with PBE.

DFT total energy	-24.76	eV per formula unit

Cell lengths 10.672, 10.672, 10.672 Å; angles 90.00, 90.00, 90.00 degrees
Space group Fm-3m (No. 225)
Asymmetric unit:
1 Tl 0.250 0.250 0.250 (multiplicity 8)
2 Zn 0.000 0.000 0.000 (multiplicity 4)
3 Ag 0.000 0.000 0.500 (multiplicity 4)
4 Br 0.000 0.000 0.245 (multiplicity 24)



4.
A relaxed structure of SrThSb2, computed with PBE.

DFT total energy	-21.42	eV per formula unit

Cell lengths 4.6255, 4.6255, 22.9641 Å; angles 90.00, 90.00, 120.00 degrees
Space group R-3m (No. 166, hexagonal axes)
Asymmetric unit:
1 Sr 0.0000 0.0000 0.0000 (multiplicity 3)
2 Th 0.0000 0.0000 0.5000 (multiplicity 3)
3 Sb 0.0000 0.0000 0.2433 (multiplicity 6)



5.
A relaxed structure of NbInSb, computed with PBE.

DFT total energy	-15.01	eV per formula unit

Cell lengths 6.782, 6.782, 6.782 Å; angles 90.00, 90.00, 90.00 degrees
Space group F-43m (No. 216)
Asymmetric unit:
1 Nb 0.000 0.000 0.000 (multiplicity 4)
2 In 0.000 0.000 0.500 (multiplicity 4)
3 Sb 0.250 0.250 0.750 (multiplicity 4)



6.
A relaxed structure of SmNiGe, computed with PBE.

DFT total energy	-17.14	eV per formula unit

Cell lengths 7.137, 4.303, 7.312 Å; angles 90.00, 90.00, 90.00 degrees
Space group Pnma (No. 62)
Asymmetric unit:
1 Sm 0.013 0.250 0.203 (multiplicity 4)
2 Ni 0.189 0.750 0.416 (multiplicity 4)
3 Ge 0.192 0.250 0.588 (multiplicity 4)



7.
A relaxed structure of KHfCuTeS2, computed with PBE.

DFT total energy	-32.67	eV per formula unit

Cell lengths 3.805, 15.557, 10.343 Å; angles 90.00, 90.00, 90.00 degrees
Space group Cmcm (No. 63)
Asymmetric unit:
1 K 0.000 0.217 0.250 (multiplicity 4)
2 Hf 0.000 0.000 0.000 (multiplicity 4)
3 Cu 0.000 0.477 0.750 (multiplicity 4)
4 Te 0.000 0.091 0.750 (multiplicity 4)
5 S 0.000 0.397 0.564 (multiplicity 8)



8.
A relaxed structure of HgAsIrO, computed with PBE.

E above lowest polymorph	76	meV per atom

Cell lengths 3.720, 8.589, 5.199 Å; angles 90.00, 90.00, 90.00 degrees
Space group Pmc2_1 (No. 26)
Asymmetric unit:
1 Hg 0.000 0.081 0.000 (multiplicity 2)
2 As 0.500 0.382 0.966 (multiplicity 2)
3 Ir 0.500 0.340 0.506 (multiplicity 2)
4 O 0.000 0.300 0.471 (multiplicity 2)



9.
A relaxed structure of BaNpSb, computed with PBE.

E above lowest polymorph	0	meV per atom

Cell lengths 7.813, 7.813, 7.813 Å; angles 90.00, 90.00, 90.00 degrees
Space group F-43m (No. 216)
Asymmetric unit:
1 Ba 0.000 0.000 0.000 (multiplicity 4)
2 Np 0.000 0.000 0.500 (multiplicity 4)
3 Sb 0.250 0.250 0.250 (multiplicity 4)



10.
A relaxed structure of KLiHg, computed with PBE.

E above lowest polymorph	0	meV per atom

Cell lengths 7.633, 7.633, 7.633 Å; angles 90.00, 90.00, 90.00 degrees
Space group F-43m (No. 216)
Asymmetric unit:
1 K 0.000 0.000 0.000 (multiplicity 4)
2 Li 0.000 0.000 0.500 (multiplicity 4)
3 Hg 0.250 0.250 0.250 (multiplicity 4)



11.
A relaxed structure of K3NpCl6, computed with PBE.

E above lowest polymorph	0	meV per atom

Cell lengths 7.490, 7.979, 13.018 Å; angles 90.00, 123.32, 90.00 degrees
Space group P2_1/c (No. 14)
Asymmetric unit:
1 K 0.000 0.000 0.000 (multiplicity 2)
2 K 0.212 0.072 0.741 (multiplicity 4)
3 Np 0.500 0.000 0.500 (multiplicity 2)
4 Cl 0.148 0.181 0.440 (multiplicity 4)
5 Cl 0.246 0.720 0.418 (multiplicity 4)
6 Cl 0.399 0.061 0.266 (multiplicity 4)



12.
A relaxed structure of Cu2Ag3, computed with PBE.

E above lowest polymorph	57	meV per atom
energy of formation	89	meV per atom

Cell lengths 4.826, 14.079, 4.833 Å; angles 90.00, 108.89, 90.00 degrees
Space group C2/c (No. 15)
Asymmetric unit:
1 Cu 0.000 0.153 0.250 (multiplicity 4)
2 Cu 0.000 0.249 0.750 (multiplicity 4)
3 Ag 0.000 0.054 0.750 (multiplicity 4)
4 Ag 0.000 0.338 0.250 (multiplicity 4)
5 Ag 0.000 0.443 0.750 (multiplicity 4)